(1)
First-principles (PBE-GGA) data for an optimized crystal structure of K3Tl3AgI8, as listed in the Alexandria database.

Properties
N(E_F)   14.724 states/eV/f.u.
Uncorrected formation energy   -0.84 eV per atom
Magnetization   1.6 μB per cell

Cell lengths 17.2215, 9.9914, 9.9952 Å; angles 90.00, 125.14, 90.00 degrees
Closest atoms and distances in Å follow each position.
Space group C2/m (No. 12)
Asymmetric unit:
1 K 0.0000 0.0000 0.0000  6 I 3.51-3.56
2 K 0.2500 0.2500 0.0000  6 I 3.53-3.60
3 Tl 0.0000 0.5000 0.5000  6 I 3.53-3.55
4 Tl 0.2500 0.2500 0.5000  6 I 3.54-3.59
5 Ag 0.0000 0.5000 0.0000  6 I 2.87-3.13
6 I 0.0002 0.2789 0.2225  1 Ag 3.13
7 I 0.2038 0.5000 0.2052  1 Ag 2.87
8 I 0.2495 0.0000 0.2486  3 K 3.51-3.53, 3 Tl 3.53-3.54

(2)
First-principles (PBE-GGA) data for an optimized crystal structure of KTmAgI5, as listed in the Alexandria database.

Properties
N(E_F)   0.000 states/eV/f.u.
Uncorrected formation energy   -1.10 eV per atom
Magnetization   0.0 μB per cell

Cell lengths 9.8738, 13.6202, 11.3330 Å; angles 90.00, 111.96, 90.00 degrees
Closest atoms and distances in Å follow each position.
Space group C2/c (No. 15)
Asymmetric unit:
1 K 0.0000 0.1395 0.2500  5 I 3.55-3.79
2 Tm 0.0000 0.5000 0.0000  6 I 3.00-3.05
3 Ag 0.0000 0.1903 0.7500  4 I 2.83-2.88
4 I 0.0000 0.4181 0.2500  2 Tm 3.05
5 I 0.1228 0.3038 0.6062  1 Ag 2.83, 1 Tm 3.00
6 I 0.1926 0.0661 0.9474  1 Ag 2.88, 1 Tm 3.00

(3)
First-principles (PBE-GGA) data for an optimized crystal structure of K2TmAgI6, as listed in the Alexandria database.

Properties
N(E_F)   0.000 states/eV/f.u.
Uncorrected formation energy   -1.17 eV per atom
Magnetization   0.0 μB per cell

Cell lengths 8.1689, 8.5995, 14.0835 Å; angles 90.00, 125.35, 90.00 degrees
Closest atoms and distances in Å follow each position.
Space group P2_1/c (No. 14)
Asymmetric unit:
1 K 0.2204 0.0862 0.2491  6 I 3.56-3.75
2 Tm 0.5000 0.0000 0.0000  6 I 3.01-3.02
3 Ag 0.0000 0.0000 0.5000  6 I 2.98-3.18
4 I 0.1474 0.1893 0.9482  1 Tm 3.01, 1 Ag 3.18
5 I 0.2657 0.7033 0.9508  1 Tm 3.02, 1 Ag 3.16
6 I 0.3527 0.0191 0.7480  1 Ag 2.98, 1 Tm 3.02

(4)
First-principles (PBE-GGA) data for an optimized crystal structure of KUAg2I6, as listed in the Alexandria database.

Properties
N(E_F)   0.481 states/eV/f.u.
Uncorrected formation energy   -0.69 eV per atom
Magnetization   12.0 μB per cell

Cell lengths 16.6217, 14.3108, 8.5861 Å; angles 90.00, 116.10, 90.00 degrees
Closest atoms and distances in Å follow each position.
Space group C2/c (No. 15)
Asymmetric unit:
1 K 0.0000 0.0816 0.2500  6 I 3.45-3.57
2 U 0.0000 0.2755 0.7500  6 I 3.12-3.21
3 Ag 0.1928 0.4130 0.0727  4 I 2.80-3.01
4 I 0.1116 0.2576 0.1503  1 Ag 2.83, 1 U 3.12
5 I 0.1202 0.1101 0.7092  1 Ag 2.86
6 I 0.1316 0.4231 0.7129  2 Ag 2.80-3.01

Copy entry 2 word for word.
First-principles (PBE-GGA) data for an optimized crystal structure of KTmAgI5, as listed in the Alexandria database.

Properties
N(E_F)   0.000 states/eV/f.u.
Uncorrected formation energy   -1.10 eV per atom
Magnetization   0.0 μB per cell

Cell lengths 9.8738, 13.6202, 11.3330 Å; angles 90.00, 111.96, 90.00 degrees
Closest atoms and distances in Å follow each position.
Space group C2/c (No. 15)
Asymmetric unit:
1 K 0.0000 0.1395 0.2500  5 I 3.55-3.79
2 Tm 0.0000 0.5000 0.0000  6 I 3.00-3.05
3 Ag 0.0000 0.1903 0.7500  4 I 2.83-2.88
4 I 0.0000 0.4181 0.2500  2 Tm 3.05
5 I 0.1228 0.3038 0.6062  1 Ag 2.83, 1 Tm 3.00
6 I 0.1926 0.0661 0.9474  1 Ag 2.88, 1 Tm 3.00